Run a
This record from the Alexandria database describes Tl3ZnCl after structural relaxation. The functional is PBE.

Unit cell a=5.4470 b=5.4470 c=5.4470 alpha=90.00 beta=90.00 gamma=90.00
Atoms (fractional coordinates):
Tl1 0.0000 0.0000 0.5000
Tl2 0.0000 0.5000 0.0000
Tl3 0.5000 0.0000 0.0000
Zn1 0.0000 0.0000 0.0000
Cl1 0.5000 0.5000 0.5000

Total moment, Bohr magnetons per cell: 0.000



Run b
This record from the Alexandria database describes Tl3ZnCl after structural relaxation. The functional is PBE.

Unit cell a=5.8766 b=5.8766 c=5.8766 alpha=90.00 beta=90.00 gamma=90.00
Atoms (fractional coordinates):
Tl1 0.0000 0.0000 0.5000
Tl2 0.0000 0.5000 0.0000
Tl3 0.5000 0.0000 0.0000
Zn1 0.5000 0.5000 0.5000
Cl1 0.0000 0.0000 0.0000

Total moment, Bohr magnetons per cell: 0.000



It comes down to run a, which is 173 meV/atom more stable than the next structure.